A PBEsol-optimized structure of TlInBr, computed with SCAN.

Results
The raw formation energy comes out at -0.3131 eV per atom. The calculation puts the volume at 342 Å³/cell. As for the total magnetization: 0.000 μB per formula unit.

```
12
Lattice="3.9689 0.0000 0.0000 0.0000 5.9649 0.0000 0.0000 0.0000 14.4487" Properties=species:S:1:pos:R:3 pbc="T T T"
Tl 0.0000 0.0000 0.0000
Tl 0.0000 2.9825 7.2244
Tl 1.9844 0.0000 7.2244
Tl 1.9844 2.9825 0.0000
In 0.0000 0.0000 4.6296
In 0.0000 2.9825 11.8539
In 1.9844 0.0000 11.8539
In 1.9844 2.9825 4.6296
Br 0.0000 0.0000 9.6870
Br 0.0000 2.9825 2.4626
Br 1.9844 0.0000 2.4626
Br 1.9844 2.9825 9.6870
```